Entry 1:
The following is a GGA-PBE calculation of a relaxed ThGa6Rh4 crystal, from Alexandria.

abc: 7.3229 7.3229 3.9828
angles: 90.00 90.00 120.00
Space group P-6m2 (No. 187)
Unique sites:
Th1 0.0000 0.0000 0.0000 x1
Ga1 0.1988 0.3975 0.5000 x3
Ga2 0.5340 0.0679 0.0000 x3
Rh1 0.3333 0.6667 0.0000 x1
Rh2 0.4035 0.2017 0.5000 x3

The total energy is -5.65 eV/atom. For the calculated density, the calculation gives 9.5 g/cm³.

Entry 2:
The following is a GGA-PBE calculation of a relaxed Th4GaRh crystal, from Alexandria.

abc: 7.3473 7.3473 5.9350
angles: 90.00 90.00 90.00
Space group P4/mcc (No. 124)
Unique sites:
Th1 0.1551 0.3315 0.0000 x8
Ga1 0.5000 0.5000 0.2500 x2
Rh1 0.0000 0.0000 0.2500 x2

The total energy is -7.14 eV/atom. For the calculated density, the calculation gives 11.4 g/cm³.

Entry 3:
The following is a GGA-PBE calculation of a relaxed ThGa12Rh6 crystal, from Alexandria.

abc: 11.3100 11.3100 8.6910
angles: 90.00 90.00 120.00
Space group R-3m (No. 166, hexagonal axes)
Unique sites:
Th1 0.0000 0.0000 0.0000 x3
Ga1 0.0000 0.3868 0.5000 x18
Ga2 0.0891 0.1781 0.3163 x18
Rh1 0.0477 0.5238 0.2478 x18

The total energy is -5.14 eV/atom. For the calculated density, the calculation gives 8.7 g/cm³.

Entry 4:
The following is a GGA-PBE calculation of a relaxed Th4GaRh15 crystal, from Alexandria.

abc: 4.1093 4.1093 20.1258
angles: 90.00 90.00 90.00
Space group P4/mmm (No. 123)
Unique sites:
Th1 0.0000 0.0000 0.1035 x2
Th2 0.0000 0.0000 0.3097 x2
Ga1 0.0000 0.0000 0.5000 x1
Rh1 0.0000 0.5000 0.0000 x2
Rh2 0.0000 0.5000 0.2067 x4
Rh3 0.0000 0.5000 0.4151 x4
Rh4 0.5000 0.5000 0.1031 x2
Rh5 0.5000 0.5000 0.3104 x2
Rh6 0.5000 0.5000 0.5000 x1

The total energy is -7.77 eV/atom. For the calculated density, the calculation gives 12.4 g/cm³.

Entry 5:
The following is a GGA-PBE calculation of a relaxed ThGa3Rh2 crystal, from Alexandria.

abc: 9.3410 8.1269 5.7139
angles: 90.00 90.00 90.00
Space group Cmcm (No. 63)
Unique sites:
Th1 0.0000 0.1460 0.2500 x4
Ga1 0.0000 0.4770 0.7500 x4
Ga2 0.1637 0.2223 0.7500 x8
Rh1 0.2272 0.5000 0.0000 x8

The total energy is -5.92 eV/atom. For the calculated density, the calculation gives 9.9 g/cm³.

Entry 6:
The following is a GGA-PBE calculation of a relaxed Th3GaRh5 crystal, from Alexandria.

abc: 8.4068 8.4068 5.8692
angles: 90.00 90.00 120.00
Space group P6_3/mcm (No. 193)
Unique sites:
Th1 0.0000 0.3612 0.2500 x6
Ga1 0.0000 0.0000 0.0000 x2
Rh1 0.0000 0.2951 0.7500 x6
Rh2 0.3333 0.6667 0.0000 x4

The total energy is -7.68 eV/atom. For the calculated density, the calculation gives 11.8 g/cm³.

Entry 7:
The following is a GGA-PBE calculation of a relaxed Th2Ga2Rh5 crystal, from Alexandria.

abc: 12.9872 4.5530 7.6505
angles: 90.00 124.73 90.00
Space group C2/m (No. 12)
Unique sites:
Th1 0.1106 0.0000 0.4026 x4
Ga1 0.1143 0.5000 0.8944 x4
Rh1 0.0000 0.5000 0.5000 x2
Rh2 0.1196 0.5000 0.2267 x4
Rh3 0.1623 0.0000 0.8087 x4

The calculation puts the energy above the most stable polymorph in this dataset at 0.202 eV/atom. For the calculated density, the calculation gives 10.0 g/cm³.

Entry 8:
The following is a GGA-PBE calculation of a relaxed Th2Ga2Rh5 crystal, from Alexandria.

abc: 4.2476 4.2476 9.0221
angles: 90.00 90.00 90.00
Space group P4/mmm (No. 123)
Unique sites:
Th1 0.0000 0.0000 0.0000 x1
Th2 0.0000 0.0000 0.5000 x1
Ga1 0.5000 0.5000 0.1380 x2
Rh1 0.0000 0.5000 0.2718 x4
Rh2 0.5000 0.5000 0.5000 x1

The calculation puts the energy above the most stable polymorph in this dataset at 0.000 eV/atom. For the calculated density, the calculation gives 11.4 g/cm³.